This record from the Alexandria database describes an optimized crystal structure of Mn2TeAu. The functional is GGA-PBE. Values from VASP.

Computed properties:
Total energy = -5.9656 eV per atom
Space-group type = I4/mmm, No. 139
DOS(E_F) = 4.563 states/eV/f.u.

Quantum ESPRESSO input file:
```
&SYSTEM
  ibrav = 0, nat = 4, ntyp = 3
/
ATOMIC_SPECIES
Mn 54.94 Mn.upf
Te 127.60 Te.upf
Au 196.97 Au.upf
CELL_PARAMETERS angstrom
-2.165 2.165 3.914
2.165 -2.165 3.914
2.165 2.165 -3.914
ATOMIC_POSITIONS crystal
Mn 0.250 0.750 0.500
Mn 0.750 0.250 0.500
Te 0.000 0.000 0.000
Au 0.500 0.500 0.000
```